Record 1
This record from the Alexandria database describes Zr2Si2Au at its PBEsol-relaxed geometry. The functional is SCAN.

Computed properties:
Space-group type: P4/mbm (127)
Formation energy without anion corrections, eV/atom: -0.84
Total DFT energy (no corrections), eV/atom: -30.96

Structure (POSCAR):
```
Zr2Si2Au
1.0
6.604 0.000 0.000
0.000 6.604 0.000
0.000 0.000 3.886
Zr Si Au
4 4 2
Cartesian
1.162 2.141 0.000
2.141 5.443 0.000
4.464 1.162 0.000
5.443 4.464 0.000
0.822 4.124 1.943
2.480 0.822 1.943
4.124 5.782 1.943
5.782 2.480 1.943
0.000 0.000 1.943
3.302 3.302 1.943
```

---

Record 2
This record from the Alexandria database describes AlSiOs at its PBEsol-relaxed geometry. The functional is SCAN.

Computed properties:
Space-group type: P3m1 (156)
Formation energy without anion corrections, eV/atom: -0.24
Total DFT energy (no corrections), eV/atom: -30.12

Structure (POSCAR):
```
AlSiOs
1.0
2.885 0.000 0.000
-1.442 2.498 0.000
0.000 0.000 5.914
Al Si Os
1 1 1
Cartesian
0.000 0.000 0.000
1.442 0.833 2.154
0.000 1.665 3.924
```

---

Record 3
This record from the Alexandria database describes Si3Pb at its PBEsol-relaxed geometry. The functional is SCAN.

Computed properties:
Space-group type: P4/mmm (123)
Formation energy without anion corrections, eV/atom: 0.94
Total DFT energy (no corrections), eV/atom: -25.52
Energy above the lowest structure with this stoichiometry, meV per atom: 7

Structure (POSCAR):
```
Si3Pb
1.0
4.578 0.000 0.000
0.000 4.578 0.000
0.000 0.000 3.647
Si Pb
3 1
Cartesian
0.000 0.000 0.000
0.000 2.289 1.824
2.289 0.000 1.824
2.289 2.289 0.000
```

---

Record 4
This record from the Alexandria database describes RhIN2 at its PBEsol-relaxed geometry. The functional is SCAN.

Computed properties:
Space-group type: I-42d (122)
Formation energy without anion corrections, eV/atom: 1.15
Total DFT energy (no corrections), eV/atom: -21.12

Structure (POSCAR):
```
RhIN2
1.0
-2.848 2.848 4.170
2.848 -2.848 4.170
2.848 2.848 -4.170
Rh I N
2 2 4
Cartesian
0.000 0.000 0.000
0.000 2.848 2.085
2.848 0.000 2.085
0.000 0.000 4.170
0.587 1.424 1.042
-1.424 2.261 3.127
-0.587 4.272 1.042
1.424 3.435 3.127
```

---

Record 5
This record from the Alexandria database describes Gd2Si4CN6 at its PBEsol-relaxed geometry. The functional is SCAN.

Computed properties:
Space-group type: P2_1/c (14)
Formation energy without anion corrections, eV/atom: -1.40
Total DFT energy (no corrections), eV/atom: -18.59

Structure (POSCAR):
```
Gd2Si4CN6
1.0
5.940 0.000 0.000
0.000 9.947 0.000
-5.896 0.000 10.366
Gd Si C N
8 16 4 24
Cartesian
-1.533 0.881 4.364
-4.481 4.093 9.547
-4.333 0.618 9.362
-1.385 4.355 4.179
1.429 5.592 6.188
4.377 9.329 1.004
4.525 5.854 0.819
1.577 9.066 6.002
-2.849 2.283 6.847
0.099 2.690 1.664
-3.055 7.051 8.542
-0.107 7.869 3.359
-1.411 7.050 5.999
1.537 7.871 0.816
1.461 5.178 2.562
-1.487 9.742 7.745
1.531 0.205 2.621
-1.417 4.769 7.804
-1.493 2.076 9.551
1.455 2.897 4.368
0.151 2.078 7.007
3.099 2.896 1.824
-0.055 7.257 8.702
2.893 7.664 3.519
1.389 7.046 2.528
-1.559 7.874 7.711
1.603 2.073 2.655
-1.345 2.901 7.838
-0.002 2.049 0.039
-2.950 2.924 5.223
-1.361 2.345 2.553
-4.309 2.629 7.736
-2.594 0.554 6.614
0.354 4.419 1.431
-3.025 5.344 8.137
-0.077 9.577 2.954
-0.940 5.380 6.250
2.008 9.540 1.067
-3.058 7.211 10.259
-0.110 7.709 5.076
0.154 2.238 5.291
3.102 2.736 0.107
-1.964 0.407 9.300
0.984 4.567 4.117
0.121 0.370 7.413
3.069 4.603 2.229
-0.310 5.528 8.936
2.638 9.393 3.752
4.353 7.318 2.630
1.405 7.602 7.814
2.994 7.023 5.144
0.046 7.898 10.327
```

---

Record 6
This record from the Alexandria database describes ScCo2Te at its PBEsol-relaxed geometry. The functional is SCAN.

Computed properties:
Space-group type: I-42d (122)
Formation energy without anion corrections, eV/atom: 0.07
Total DFT energy (no corrections), eV/atom: -21.46
Energy above the lowest structure with this stoichiometry, meV per atom: 240

Structure (POSCAR):
```
ScCo2Te
1.0
-2.013 2.013 8.443
2.013 -2.013 8.443
2.013 2.013 -8.443
Sc Co Te
2 4 2
Cartesian
0.000 0.000 0.000
0.000 2.013 4.222
1.006 -0.773 6.332
1.240 1.006 2.111
1.006 2.786 -2.111
0.773 1.006 10.554
2.013 0.000 4.222
0.000 0.000 8.443
```

---

Record 7
This record from the Alexandria database describes LaYSc2 at its PBEsol-relaxed geometry. The functional is SCAN.

Computed properties:
Space-group type: I-4m2 (119)
Total DFT energy (no corrections), eV/atom: -24.75
ΔE_f, eV per atom: 0.10
Energy above the lowest structure with this stoichiometry, meV per atom: 35

Structure (POSCAR):
```
LaYSc2
1.0
-2.414 2.414 4.782
2.414 -2.414 4.782
2.414 2.414 -4.782
La Y Sc
1 1 2
Cartesian
0.000 0.000 0.000
2.414 0.000 2.391
0.000 0.000 4.782
0.000 2.414 2.391
```

---

Record 8
This record from the Alexandria database describes YCrSe at its PBEsol-relaxed geometry. The functional is SCAN.

Computed properties:
Space-group type: P-6m2 (187)
Formation energy without anion corrections, eV/atom: -0.72
Total DFT energy (no corrections), eV/atom: -22.82

Structure (POSCAR):
```
YCrSe
1.0
4.253 0.000 0.000
-2.126 3.683 0.000
0.000 0.000 3.733
Y Cr Se
1 1 1
Cartesian
0.000 0.000 0.000
0.000 2.455 1.866
2.126 1.228 1.866
```

---

Record 9
This record from the Alexandria database describes Sr2BeW at its PBEsol-relaxed geometry. The functional is SCAN.

Computed properties:
Space-group type: P4/mmm (123)
Total DFT energy (no corrections), eV/atom: -28.32
ΔE_f, eV per atom: 1.33

Structure (POSCAR):
```
Sr2BeW
1.0
5.255 0.000 0.000
0.000 5.255 0.000
0.000 0.000 3.715
Sr Be W
2 1 1
Cartesian
0.000 2.627 0.000
2.627 0.000 0.000
0.000 0.000 1.858
2.627 2.627 1.858
```

---

Record 10
This record from the Alexandria database describes NiAgPb2 at its PBEsol-relaxed geometry. The functional is SCAN.

Computed properties:
Space-group type: P4mm (99)
Total DFT energy (no corrections), eV/atom: -49.54
ΔE_f, eV per atom: 0.24
Energy above the lowest structure with this stoichiometry, meV per atom: 0

Structure (POSCAR):
```
NiAgPb2
1.0
3.241 0.000 0.000
0.000 3.241 0.000
0.000 0.000 7.987
Ni Ag Pb
1 1 2
Cartesian
0.000 0.000 0.000
1.621 1.621 6.596
0.000 0.000 4.608
1.621 1.621 1.598
```

---

Record 11
This record from the Alexandria database describes MoSe3 at its PBEsol-relaxed geometry. The functional is SCAN.

Computed properties:
Space-group type: Immm (71)
Formation energy without anion corrections, eV/atom: 0.16
Total DFT energy (no corrections), eV/atom: -23.62

Structure (POSCAR):
```
MoSe3
1.0
-1.541 2.192 5.864
1.541 -2.192 5.864
1.541 2.192 -5.864
Mo Se
1 3
Cartesian
0.000 0.000 0.000
1.541 0.000 2.059
0.000 0.000 5.864
0.000 2.192 3.805
```

---

Record 12
This record from the Alexandria database describes AlSbHI2 at its PBEsol-relaxed geometry. The functional is SCAN.

Computed properties:
Space-group type: P4/mmm (123)
Total DFT energy (no corrections), eV/atom: -23.79

Structure (POSCAR):
```
AlSbHI2
1.0
5.614 0.000 0.000
0.000 5.614 0.000
0.000 0.000 5.197
Al Sb H I
1 1 1 2
Cartesian
0.000 0.000 0.000
0.000 0.000 2.598
2.807 2.807 2.598
0.000 2.807 0.000
2.807 0.000 0.000
```